Material: AlAgW2
Method: DFT, meta-GGA SCAN
State: single point on PBEsol structure

Calculated values
DFT total energy	-44.313	eV/atom
symmetry	C2/m (12)
formation energy from the elements	1.24	eV/f.u.

a b c (Å): 2.703 5.135 5.135
angles (deg): 117.90 95.31 95.31
Positions (direct):
Ag 0.500 0.500 0.500
W 0.000 0.500 0.000
W 0.000 0.000 0.500
Al 0.500 0.000 0.000